VASP calculation (GGA-PBE) on SrRe2Au after structural relaxation.

Cell: 2.7043 4.6470 6.5693 Å, 90.00 90.00 90.00°
Last column: nearest neighbours and their distance in Å.
Positions (direct):
1 Sr 0.0000 0.0000 0.0000  2 Sr 2.70
2 Re 0.5000 0.5000 0.3189  1 Re 2.38
3 Re 0.5000 0.5000 0.6811  1 Re 2.38
4 Au 0.0000 0.0000 0.5000  2 Au 2.70, 8 Re 2.94

Properties
The energy comes out at -6.5631 eV per atom. The calculated formation energy is 0.901 eV/atom.